1.
P2RuSeCl: optimized geometry, PBE.

Calculated values
energy relative to the elements, uncorrected = 0.471 eV per atom
SG = P4/mmm
energy = -4.61 eV per atom
theoretical density = 4.62 g/cm³

Unit cell a=4.5990 b=4.5990 c=4.7163 alpha=90.00 beta=90.00 gamma=90.00
Fractional positions:
Se 0.5000 0.5000 0.5000
P 0.0000 0.5000 0.0000
Ru 0.0000 0.0000 0.0000
P 0.5000 0.0000 0.0000
Cl 0.0000 0.0000 0.5000

2.
Be2CuMo: optimized geometry, PBE.

Calculated values
SG = R-3m
energy = -5.37 eV per atom
theoretical density = 6.23 g/cm³
calculated formation energy = 0.9 eV per formula unit

Unit cell a=7.9944 b=7.9944 c=7.9944 alpha=18.99 beta=18.99 gamma=18.99
Fractional positions:
Be 0.5050 0.5050 0.5050
Be 0.9950 0.9950 0.9950
Mo 0.7500 0.7500 0.7500
Cu 0.2500 0.2500 0.2500

3.
HfNb2CrH: optimized geometry, PBE.

Calculated values
SG = P4/mmm
energy = -8.45 eV per atom
theoretical density = 9.40 g/cm³

Unit cell a=3.9372 b=3.9372 c=4.7549 alpha=90.00 beta=90.00 gamma=90.00
Fractional positions:
H 0.0000 0.0000 0.0000
Cr 0.0000 0.0000 0.5000
Hf 0.5000 0.5000 0.5000
Nb 0.5000 0.0000 0.0000
Nb 0.0000 0.5000 0.0000

4.
Cs3Ac2MgS6: optimized geometry, PBE.

Calculated values
energy relative to the elements, uncorrected = -1.484 eV per atom
SG = C2/m
energy = -4.58 eV per atom
theoretical density = 4.51 g/cm³

Unit cell a=7.4919 b=7.4919 c=8.4782 alpha=98.47 beta=98.47 gamma=120.03
Fractional positions:
Ac 0.3335 0.6665 0.0000
Cs 0.5000 0.5000 0.5000
Cs 0.8331 0.1669 0.5000
S 0.2495 0.2495 0.8125
S 0.0622 0.3735 0.1868
S 0.7505 0.7505 0.1875
S 0.6265 0.9378 0.8132
Ac 0.6665 0.3335 0.0000
Mg 0.0000 0.0000 0.0000
S 0.9378 0.6265 0.8132
Cs 0.1669 0.8331 0.5000
S 0.3735 0.0622 0.1868

5.
Y5Ho2Tm2: optimized geometry, PBE.

Calculated values
SG = P-1
energy = -5.58 eV per atom
theoretical density = 6.53 g/cm³
calculated formation energy = 0.2 eV per formula unit

Unit cell a=3.5423 b=13.7237 c=6.1351 alpha=89.96 beta=106.83 gamma=97.53
Fractional positions:
Y 0.6660 0.5560 0.7758
Y 0.0000 0.0000 0.0000
Tm 0.9996 0.6664 0.3320
Tm 0.0004 0.3336 0.6680
Y 0.3340 0.4440 0.2242
Y 0.6673 0.8869 0.4468
Ho 0.3348 0.7767 0.8919
Ho 0.6652 0.2233 0.1081
Y 0.3327 0.1131 0.5532

6.
CrReRh2: optimized geometry, PBE.

Calculated values
SG = I-4m2
energy = -9.21 eV per atom
theoretical density = 13.35 g/cm³
calculated formation energy = -0.1 eV per formula unit

Unit cell a=4.6274 b=4.6274 c=4.6274 alpha=130.99 beta=130.99 gamma=71.83
Fractional positions:
Re 0.7500 0.2500 0.5000
Cr 0.5000 0.5000 0.0000
Rh 0.0000 0.0000 0.0000
Rh 0.2500 0.7500 0.5000